## SmTmZn4 (PBE)

Data for an optimized crystal structure of SmTmZn4.

## Properties
E = -2.707 eV per atom
formation enthalpy at 0 K = -326 meV per atom
M_tot = 0.00 μB/f.u.
ΔE to the lowest computed polymorph = 0.040 eV per atom

abc: 5.4732 5.4732 5.4732
angles: 60.00 60.00 60.00
Fractional coordinates of all 6 atoms:
Sm 0.0000 0.0000 0.0000
Tm 0.7500 0.7500 0.7500
Zn 0.3752 0.3752 0.3752
Zn 0.3752 0.3752 0.8745
Zn 0.3752 0.8745 0.3752
Zn 0.8745 0.3752 0.3752